SmVO4: relaxed, PBE with a Hubbard U.

It has space group Fddd (No. 70, origin choice 2), with a = 6.443 Å, b = 10.396 Å, c = 10.415 Å, α = 90.00°, β = 90.00° and γ = 90.00°. The inequivalent atoms are Sm at (0.125, 0.125, 0.125), V at (0.125, 0.125, 0.625) and O at (0.048, 0.284, 0.966).

The value obtained for the final energy is -8.046 eV per atom. As for the calculated volume: 14.5 A^3/atom. The calculation puts the total magnetization at 0.00 μB per cell.